A relaxed structure of Ac4Se5Br, computed with PBE-GGA. Values from VASP.

Values from the calculation:
Theoretical density   6.38 g cm⁻³
E_form (uncorrected)   -1.886 eV/atom
Size of the total moment   0.0 μB per formula unit
Calculated volume   360.13 Å³/cell

```
&SYSTEM
  ibrav = 0, nat = 10, ntyp = 3
/
ATOMIC_SPECIES
Se 78.96 Se.upf
Br 79.90 Br.upf
Ac 227.00 Ac.upf
ATOMIC_POSITIONS angstrom
Se 2.324 4.156 -0.693
Se 2.324 -1.264 6.434
Se 0.000 6.924 1.945
Se 2.324 3.276 5.674
Se 0.000 2.384 2.705
Br 2.324 0.000 0.000
Ac 2.324 0.657 3.972
Ac 0.000 2.218 -0.368
Ac 2.324 3.442 8.747
Ac 0.000 5.003 4.408
CELL_PARAMETERS angstrom
4.647 0.000 0.000
0.000 8.312 -1.387
-2.324 -2.652 9.766
```